This record from Alexandria describes an optimized crystal structure of Cs2TlAu. The functional is PBE.

volume	180.20	Å³/cell
formation energy from the elements	-0.107	eV per atom
ΔE to the lowest computed polymorph	0.014	eV per formula unit

Structure (CIF):
```
data_Cs2TlAu
_chemical_formula_sum 'Cs2 Tl1 Au1'
_space_group_name_H-M_alt 'P 1'
_space_group_IT_number 1
_space_group_name_Hall 'P 1'
_cell_length_a 4.4006
_cell_length_b 4.4006
_cell_length_c 9.3052
_cell_angle_alpha 90.00
_cell_angle_beta 90.00
_cell_angle_gamma 90.00
loop_
_atom_site_label
_atom_site_type_symbol
_atom_site_fract_x
_atom_site_fract_y
_atom_site_fract_z
Cs1 Cs 0.0000 0.0000 0.2208
Cs2 Cs 0.0000 0.0000 0.7792
Tl1 Tl 0.5000 0.5000 0.5000
Au1 Au 0.5000 0.5000 0.0000
```